[1]
A plane-wave DFT calculation with SCAN was carried out for FeCuRh2 at its PBEsol-relaxed geometry.

Results
The density comes out at 10.8 g cm⁻³. The formation energy is -0.1 eV per formula unit. The space-group type is I-4m2 (119). As for the density of states at the Fermi level: 4.3 states/eV per cell. The final energy is -25.25 eV/atom. For the size of the total moment, the calculation gives 3.2 μB per formula unit.

Lattice parameters (Å, degrees): 3.6465 3.6465 4.5681 113.52 113.52 90.00
Closest atoms and distances in Å follow each position.
Fractional positions:
Cu 0.5000 0.5000 0.0000  8 Rh 2.58-2.62, 4 Fe 2.62
Rh 0.0000 0.0000 0.0000  4 Cu 2.58, 4 Fe 2.62, 4 Rh 2.62
Fe 0.2500 0.7500 0.5000  8 Rh 2.58-2.62, 4 Cu 2.62
Rh 0.7500 0.2500 0.5000  4 Fe 2.58, 4 Cu 2.62, 4 Rh 2.62

=====

[2]
A plane-wave DFT calculation with SCAN was carried out for Ca2Cu2Hg at its PBEsol-relaxed geometry.

Results
The density comes out at 6.3 g cm⁻³. The formation energy is -1.0 eV per formula unit. The space-group type is I4/mmm (139). As for the density of states at the Fermi level: 2.6 states/eV per cell. The value obtained for the energy above the most stable polymorph in this dataset is 0.0579 eV per atom. The final energy is -23.78 eV/atom. For the size of the total moment, the calculation gives 0.0 μB per formula unit.

Lattice parameters (Å, degrees): 3.4790 3.4790 9.1955 100.90 100.90 90.00
Closest atoms and distances in Å follow each position.
Fractional positions:
Cu 0.2500 0.7500 0.5000  4 Cu 2.46
Cu 0.7500 0.2500 0.5000  4 Cu 2.46
Ca 0.3853 0.3853 0.7705  4 Cu 2.96, 4 Hg 3.19
Ca 0.6147 0.6147 0.2295  4 Cu 2.96, 4 Hg 3.19
Hg 0.0000 0.0000 0.0000  8 Ca 3.19, 4 Hg 3.48

=====

[3]
A plane-wave DFT calculation with SCAN was carried out for Fe2SO at its PBEsol-relaxed geometry.

Results
The density comes out at 5.7 g cm⁻³. The space-group type is I-42d (122). As for the density of states at the Fermi level: 2.8 states/eV per cell. The final energy is -13.62 eV/atom. For the size of the total moment, the calculation gives 0.1 μB per formula unit. The uncorrected formation energy comes out at -0.587 eV/atom.

Lattice parameters (Å, degrees): 4.4687 4.4687 5.6501 113.29 113.29 90.00
Closest atoms and distances in Å follow each position.
Fractional positions:
S 0.0000 0.0000 0.0000  4 Fe 2.12
Fe 0.6250 0.5689 0.7500  2 O 1.84
Fe 0.8189 0.3750 0.2500  2 O 1.84
Fe 0.4311 0.8750 0.2500  2 O 1.84
Fe 0.1250 0.1811 0.7500  2 O 1.84
S 0.2500 0.7500 0.5000  4 Fe 2.12
O 0.5000 0.5000 0.0000  4 Fe 1.84
O 0.7500 0.2500 0.5000  4 Fe 1.84

=====

[4]
A plane-wave DFT calculation with SCAN was carried out for ScSiSbTe2 at its PBEsol-relaxed geometry.

Results
The density comes out at 5.5 g cm⁻³. The space-group type is P4/mmm (123). As for the density of states at the Fermi level: 3.1 states/eV per cell. The final energy is -26.94 eV/atom. For the size of the total moment, the calculation gives 0.0 μB per formula unit. The uncorrected formation energy comes out at 0.265 eV/atom.

Lattice parameters (Å, degrees): 5.0765 5.1878 5.1878 90.00 90.00 90.00
Closest atoms and distances in Å follow each position.
Fractional positions:
Te 0.0000 0.5000 0.0000  2 Si 2.59
Sc 0.5000 0.5000 0.5000  8 Te 3.63, 4 Sb 3.67
Si 0.0000 0.0000 0.0000  2 Sb 2.54, 4 Te 2.59
Te 0.0000 0.0000 0.5000  2 Si 2.59
Sb 0.5000 0.0000 0.0000  2 Si 2.54

=====

[5]
A plane-wave DFT calculation with SCAN was carried out for Hg2SbAsCl at its PBEsol-relaxed geometry.

Results
The density comes out at 6.7 g cm⁻³. The space-group type is P4/mmm (123). As for the density of states at the Fermi level: 1.6 states/eV per cell. The final energy is -39.99 eV/atom. For the size of the total moment, the calculation gives 2.2 μB per formula unit. The uncorrected formation energy comes out at 0.365 eV/atom.

Lattice parameters (Å, degrees): 5.1175 5.5510 5.5510 90.00 90.00 90.00
Closest atoms and distances in Å follow each position.
Fractional positions:
Hg 0.0000 0.5000 0.0000  2 Sb 2.78
Sb 0.0000 0.0000 0.0000  2 Cl 2.56, 4 Hg 2.78
Cl 0.5000 0.0000 0.0000  2 Sb 2.56
Hg 0.0000 0.0000 0.5000  2 Sb 2.78
As 0.5000 0.5000 0.5000  8 Hg 3.78, 4 Cl 3.93

=====

[6]
A plane-wave DFT calculation with SCAN was carried out for ScCoOF2 at its PBEsol-relaxed geometry.

Results
The density comes out at 4.6 g cm⁻³. The space-group type is P4/mmm (123). As for the density of states at the Fermi level: 2.8 states/eV per cell. The final energy is -10.96 eV/atom. For the size of the total moment, the calculation gives 1.2 μB per formula unit. The uncorrected formation energy comes out at -1.989 eV/atom.

Lattice parameters (Å, degrees): 3.7448 3.8948 3.8948 90.00 90.00 90.00
Closest atoms and distances in Å follow each position.
Fractional positions:
Sc 0.5000 0.5000 0.5000  8 F 2.70, 4 O 2.75
F 0.0000 0.0000 0.5000  2 Co 1.95
F 0.0000 0.5000 0.0000  2 Co 1.95
Co 0.0000 0.0000 0.0000  2 O 1.87, 4 F 1.95
O 0.5000 0.0000 0.0000  2 Co 1.87

=====

[7]
A plane-wave DFT calculation with SCAN was carried out for KNa5TeO6 at its PBEsol-relaxed geometry.

Results
The density comes out at 3.0 g cm⁻³. The space-group type is C2/c (15). The final energy is -9.53 eV/atom. For the size of the total moment, the calculation gives 0.0 μB per formula unit. The uncorrected formation energy comes out at -1.529 eV/atom.

Lattice parameters (Å, degrees): 6.4396 6.6487 11.1405 90.78 91.61 61.03
Closest atoms and distances in Å follow each position.
Fractional positions:
Te 0.0000 0.0000 0.5000  6 O 1.96-2.00
O 0.8695 0.2765 0.1024  1 Te 1.97
K 0.3265 0.3470 0.7500  6 O 2.70-2.77
Na 0.8624 0.2752 0.7500  4 O 2.27-2.33
O 0.1460 0.7235 0.6024  1 Te 1.97
O 0.8556 0.8560 0.1012  1 Te 2.00
Na 0.8569 0.8578 0.7424  4 O 2.28-2.30
O 0.2830 0.8722 0.1065  1 Te 1.96
O 0.7170 0.1278 0.8935  1 Te 1.96
Te 0.0000 0.0000 0.0000  6 O 1.96-2.00
Na 0.2853 0.8578 0.7576  4 O 2.28-2.30
Na 0.5000 0.0000 0.5000  4 O 2.28-2.31
Na 0.1376 0.7248 0.2500  4 O 2.27-2.33
Na 0.5000 0.0000 0.0000  4 O 2.28-2.31
K 0.6735 0.6530 0.2500  6 O 2.70-2.77
O 0.2885 0.8560 0.3988  1 Te 2.00
Na 0.1431 0.1422 0.2576  4 O 2.28-2.30
O 0.8540 0.2765 0.3976  1 Te 1.97
O 0.1305 0.7235 0.8976  1 Te 1.97
Na 0.7147 0.1422 0.2424  4 O 2.28-2.30
O 0.1444 0.1440 0.8988  1 Te 2.00
O 0.8449 0.8722 0.3935  1 Te 1.96
Na 0.5000 0.5000 0.5000  4 O 2.35-2.36
O 0.7115 0.1440 0.6012  1 Te 2.00
Na 0.0000 0.5000 0.0000  4 O 2.35-2.36
O 0.1551 0.1278 0.6065  1 Te 1.96

=====

[8]
A plane-wave DFT calculation with SCAN was carried out for ZnCu2SnS4 at its PBEsol-relaxed geometry.

Results
The density comes out at 4.7 g cm⁻³. The space-group type is I-42m (121). As for the density of states at the Fermi level: 0.0 states/eV per cell. The value obtained for the energy above the most stable polymorph in this dataset is 0.0022 eV per atom. The final energy is -15.32 eV/atom. For the size of the total moment, the calculation gives 0.0 μB per formula unit. The uncorrected formation energy comes out at -0.530 eV/atom.

Lattice parameters (Å, degrees): 5.3679 5.3679 6.5838 114.06 114.06 90.00
Closest atoms and distances in Å follow each position.
Fractional positions:
Zn 0.0000 0.0000 0.0000  4 S 2.33
S 0.1062 0.6244 0.7305  2 Cu 2.27, 1 Zn 2.33, 1 Sn 2.44
S 0.8938 0.8938 0.2695  2 Cu 2.27, 1 Zn 2.33, 1 Sn 2.44
S 0.6244 0.1062 0.7305  2 Cu 2.27, 1 Zn 2.33, 1 Sn 2.44
Cu 0.2500 0.7500 0.5000  4 S 2.27
Sn 0.5000 0.5000 0.0000  4 S 2.44
S 0.3756 0.3756 0.2695  2 Cu 2.27, 1 Zn 2.33, 1 Sn 2.44
Cu 0.7500 0.2500 0.5000  4 S 2.27

=====

[9]
A plane-wave DFT calculation with SCAN was carried out for TaIn2Sb at its PBEsol-relaxed geometry.

Results
The density comes out at 10.0 g cm⁻³. The space-group type is P2/m (10). As for the density of states at the Fermi level: 2.1 states/eV per cell. The final energy is -42.26 eV/atom. For the size of the total moment, the calculation gives 0.0 μB per formula unit. The uncorrected formation energy comes out at 0.394 eV/atom.

Lattice parameters (Å, degrees): 3.1754 5.1140 5.5487 90.00 101.56 90.00
Closest atoms and distances in Å follow each position.
Fractional positions:
In 0.1297 0.0000 0.2648  5 In 2.89-3.18, 2 Ta 3.00
In 0.8703 0.0000 0.7352  5 In 2.89-3.18, 2 Ta 3.00
Ta 0.5000 0.5000 0.5000  2 Sb 2.77, 4 In 3.00
Sb 0.5000 0.5000 0.0000  2 Ta 2.77

=====

[10]
A plane-wave DFT calculation with SCAN was carried out for YInRh2 at its PBEsol-relaxed geometry.

Results
The density comes out at 9.8 g cm⁻³. The formation energy is -3.3 eV per formula unit. The space-group type is P4/mmm (123). As for the density of states at the Fermi level: 0.5 states/eV per cell. The final energy is -33.02 eV/atom. For the size of the total moment, the calculation gives 0.0 μB per formula unit.

Lattice parameters (Å, degrees): 3.5104 4.4489 4.4489 90.00 90.00 90.00
Closest atoms and distances in Å follow each position.
Fractional positions:
In 0.5000 0.0000 0.0000  8 Rh 2.83, 4 Y 3.15
Rh 0.0000 0.5000 0.0000  4 In 2.83, 4 Y 2.83, 4 Rh 3.15
Y 0.5000 0.5000 0.5000  8 Rh 2.83, 4 In 3.15
Rh 0.0000 0.0000 0.5000  4 In 2.83, 4 Y 2.83, 4 Rh 3.15

=====

Q: What is the size of the total moment in the eighth record?
A: 0.0 μB per formula unit

=====

Q: The highest density belongs to which entry?
A: FeCuRh2